Entry from the Alexandria database: a geometry-optimized HfMnTe2N structure (PBE).

a b c (Å): 5.292 5.292 3.501
angles (deg): 90.00 90.00 90.00
Element x y z (fractional)
Te 0.000 0.500 0.000
Te 0.500 0.000 0.000
N 0.000 0.000 0.500
Mn 0.000 0.000 0.000
Hf 0.500 0.500 0.500

Calculated values
Energy relative to the elements, uncorrected = 10.8 kJ/mol of atoms

=====

Entry from the Alexandria database: a geometry-optimized P2RhBr structure (PBE).

a b c (Å): 3.502 2.758 8.335
angles (deg): 90.00 90.00 90.00
Element x y z (fractional)
P 0.000 0.000 0.396
Br 0.500 0.500 0.750
P 0.000 0.000 0.104
Rh 0.500 0.500 0.250

Calculated values
Energy relative to the elements, uncorrected = 3.4 kJ/mol of atoms

=====

Entry from the Alexandria database: a geometry-optimized FeI4 structure (PBE).

a b c (Å): 5.466 5.466 5.466
angles (deg): 90.00 90.00 90.00
Element x y z (fractional)
I 0.500 0.000 0.500
I 0.000 0.000 0.000
Fe 0.500 0.500 0.500
I 0.500 0.500 0.000
I 0.000 0.500 0.500

Calculated values
Energy relative to the elements, uncorrected = 22.6 kJ/mol of atoms

=====

Entry from the Alexandria database: a geometry-optimized Sr4ScPa3P8 structure (PBE).

a b c (Å): 8.192 8.366 8.192
angles (deg): 119.32 120.00 90.00
Element x y z (fractional)
Sc 0.000 0.500 0.000
P 0.739 0.716 0.477
Sr 0.000 0.000 0.500
Pa 0.500 0.500 0.000
P 0.738 0.712 0.975
P 0.763 0.288 0.526
Sr 0.500 0.000 0.500
Sr 0.500 0.000 0.000
Pa 0.500 0.500 0.500
P 0.261 0.284 0.523
P 0.237 0.712 0.474
P 0.237 0.712 0.975
Sr 0.000 0.000 0.000
Pa 0.000 0.500 0.500
P 0.763 0.288 0.025
P 0.262 0.288 0.025

Calculated values
Formation energy from the elements = -19.869 eV per formula unit

=====

Entry from the Alexandria database: a geometry-optimized Ho5Ga2Se2 structure (PBE).

a b c (Å): 7.610 7.652 8.296
angles (deg): 90.00 62.70 90.00
Element x y z (fractional)
Ho 0.693 0.336 0.276
Ho 0.531 0.836 0.276
Ho 0.807 0.836 0.724
Ga 0.626 0.123 0.000
Se 0.301 0.500 0.398
Se 0.801 0.000 0.398
Ho 0.500 0.500 0.000
Ga 0.126 0.377 0.000
Se 0.699 0.500 0.602
Se 0.199 0.000 0.602
Ho 0.193 0.164 0.276
Ho 0.000 0.000 0.000
Ho 0.969 0.336 0.724
Ga 0.374 0.877 0.000
Ho 0.307 0.664 0.724
Ho 0.031 0.664 0.276
Ho 0.469 0.164 0.724
Ga 0.874 0.623 0.000

Calculated values
Energy relative to the elements, uncorrected = -100.4 kJ/mol of atoms

=====

Entry from the Alexandria database: a geometry-optimized Co6SiTc structure (PBE).

a b c (Å): 6.102 6.102 9.970
angles (deg): 90.00 90.00 109.65
Element x y z (fractional)
Co 0.750 0.250 0.499
Co 0.500 0.500 0.250
Tc 0.255 0.745 0.750
Co 0.372 0.123 0.624
Co 0.877 0.628 0.624
Tc 0.500 0.500 0.495
Co 0.876 0.627 0.126
Co 0.628 0.877 0.876
Co 0.250 0.750 0.001
Co 0.123 0.372 0.624
Co 0.124 0.373 0.374
Co 0.123 0.372 0.876
Co 0.876 0.627 0.374
Si 0.255 0.745 0.250
Co 0.373 0.124 0.126
Tc 0.500 0.500 0.005
Co 0.000 0.000 0.250
Co 0.628 0.877 0.624
Co 0.750 0.250 0.001
Si 0.745 0.255 0.250
Co 0.372 0.123 0.876
Co 0.627 0.876 0.126
Co 0.373 0.124 0.374
Co 0.124 0.373 0.126
Co 0.250 0.750 0.499
Co 0.877 0.628 0.876
Co 0.500 0.500 0.750
Co 0.000 0.000 0.750
Co 0.627 0.876 0.374
Si 0.000 0.000 0.005
Tc 0.745 0.255 0.750
Si 0.000 0.000 0.495

Calculated values
Energy relative to the elements, uncorrected = -10.3 kJ/mol of atoms

=====

| no. | M_tot (μB per formula unit) |
| --- | --- |
| 1 | 1.08 |
| 2 | 0.00 |
| 3 | 3.32 |
| 4 | 0.00 |
| 5 | 0.00 |
| 6 | 0.00 |